# 1
# PBE Cs2NbCl7, optimized geometry
# Energy above the most stable polymorph in this dataset = 0 meV per atom
# Total magnetic moment = 0.00 μB/cell
# Energy = -3.972 eV per atom
# Uncorrected formation energy = -1.502 eV per atom
# ρ = 2.88 g/cm3
data_Cs2NbCl7
_chemical_formula_sum 'Cs8 Nb4 Cl28'
_cell_length_a 17.831
_cell_length_b 8.104
_cell_length_c 12.733
_cell_angle_alpha 90.00
_cell_angle_beta 130.43
_cell_angle_gamma 90.00
_space_group_name_H-M_alt 'C 1 2/c 1'
_space_group_IT_number 15
_space_group_name_Hall '-C 2yc'
loop_
_atom_site_label
_atom_site_type_symbol
_atom_site_fract_x
_atom_site_fract_y
_atom_site_fract_z
Cs1 Cs 0.139 0.170 0.049
Nb1 Nb 0.000 0.289 0.250
Cl1 Cl 0.000 0.403 0.750
Cl2 Cl 0.086 0.287 0.491
Cl3 Cl 0.088 0.032 0.259
Cl4 Cl 0.156 0.381 0.306


# 2
# PBE LaTcHg2Cl, optimized geometry
# Energy above the most stable polymorph in this dataset = 0 meV per atom
# Total magnetic moment = 0.00 μB/cell
# Energy = -3.453 eV per atom
# Uncorrected formation energy = 0.095 eV per atom
# ρ = 8.51 g/cm3
data_LaTcHg2Cl
_chemical_formula_sum 'La1 Tc1 Hg2 Cl1'
_cell_length_a 5.395
_cell_length_b 5.395
_cell_length_c 4.517
_cell_angle_alpha 90.00
_cell_angle_beta 90.00
_cell_angle_gamma 90.00
_space_group_name_H-M_alt 'P 4/m m m'
_space_group_IT_number 123
_space_group_name_Hall '-P 4 2'
loop_
_atom_site_label
_atom_site_type_symbol
_atom_site_fract_x
_atom_site_fract_y
_atom_site_fract_z
La1 La 0.000 0.000 0.000
Tc1 Tc 0.500 0.500 0.500
Hg1 Hg 0.000 0.500 0.500
Cl1 Cl 0.500 0.500 0.000


# 3
# PBE SrIn3Ag, optimized geometry
# Total magnetic moment = 0.00 μB/cell
# Energy = -2.865 eV per atom
# Calculated formation energy = -315 meV/atom
# ρ = 6.53 g/cm3
data_SrIn3Ag
_chemical_formula_sum 'Sr2 In6 Ag2'
_cell_length_a 6.661
_cell_length_b 6.492
_cell_length_c 7.166
_cell_angle_alpha 90.00
_cell_angle_beta 117.69
_cell_angle_gamma 90.00
_space_group_name_H-M_alt 'P 1 21/m 1'
_space_group_IT_number 11
_space_group_name_Hall '-P 2yb'
loop_
_atom_site_label
_atom_site_type_symbol
_atom_site_fract_x
_atom_site_fract_y
_atom_site_fract_z
Sr1 Sr 0.249 0.250 0.498
In1 In 0.146 0.750 0.293
In2 In 0.258 0.000 0.000
Ag1 Ag 0.361 0.750 0.723


# 4
# PBE CsBe2HgIr, optimized geometry
# Total magnetic moment = 0.97 μB/cell
# Energy = -1.090 eV per atom
# Calculated formation energy = 2404 meV/atom
# ρ = 3.25 g/cm3
data_CsBe2HgIr
_chemical_formula_sum 'Cs1 Be2 Hg1 Ir1'
_cell_length_a 7.148
_cell_length_b 7.148
_cell_length_c 5.437
_cell_angle_alpha 90.00
_cell_angle_beta 90.00
_cell_angle_gamma 90.00
_space_group_name_H-M_alt 'P 4/m m m'
_space_group_IT_number 123
_space_group_name_Hall '-P 4 2'
loop_
_atom_site_label
_atom_site_type_symbol
_atom_site_fract_x
_atom_site_fract_y
_atom_site_fract_z
Cs1 Cs 0.000 0.000 0.000
Be1 Be 0.000 0.500 0.000
Hg1 Hg 0.500 0.500 0.500
Ir1 Ir 0.000 0.000 0.500


# 5
# PBE Dy4HoTm10, optimized geometry
# Total magnetic moment = 0.00 μB/cell
# Energy = -3.778 eV per atom
# Calculated formation energy = 735 meV/atom
# ρ = 7.63 g/cm3
data_Dy4HoTm10
_chemical_formula_sum 'Dy8 Ho2 Tm20'
_cell_length_a 11.999
_cell_length_b 11.999
_cell_length_c 7.575
_cell_angle_alpha 90.00
_cell_angle_beta 90.00
_cell_angle_gamma 90.00
_space_group_name_H-M_alt 'I 4/m'
_space_group_IT_number 87
_space_group_name_Hall '-I 4'
loop_
_atom_site_label
_atom_site_type_symbol
_atom_site_fract_x
_atom_site_fract_y
_atom_site_fract_z
Dy1 Dy 0.101 0.299 0.000
Ho1 Ho 0.000 0.000 0.500
Tm1 Tm 0.000 0.500 0.250
Tm2 Tm 0.099 0.800 0.250


# 6
# PBE AcPrMnN4, optimized geometry
# Total magnetic moment = 1.91 μB/cell
# Energy = -8.221 eV per atom
# Uncorrected formation energy = -0.884 eV per atom
# ρ = 7.21 g/cm3
data_AcPrMnN4
_chemical_formula_sum 'Ac2 Pr2 Mn2 N8'
_cell_length_a 5.746
_cell_length_b 5.577
_cell_length_c 7.282
_cell_angle_alpha 90.00
_cell_angle_beta 108.94
_cell_angle_gamma 90.00
_space_group_name_H-M_alt 'P 1 21/m 1'
_space_group_IT_number 11
_space_group_name_Hall '-P 2yb'
loop_
_atom_site_label
_atom_site_type_symbol
_atom_site_fract_x
_atom_site_fract_y
_atom_site_fract_z
Ac1 Ac 0.210 0.250 0.429
Pr1 Pr 0.288 0.250 0.961
Mn1 Mn 0.270 0.750 0.196
N1 N 0.076 0.750 0.340
N2 N 0.110 0.750 0.951
N3 N 0.468 0.507 0.253


# 7
# PBE Rb2ReSCl6, optimized geometry
# Total magnetic moment = 6.00 μB/cell
# Energy = -3.777 eV per atom
# Uncorrected formation energy = -0.818 eV per atom
# ρ = 3.32 g/cm3
data_Rb2ReSCl6
_chemical_formula_sum 'Rb4 Re2 S2 Cl12'
_cell_length_a 8.138
_cell_length_b 8.138
_cell_length_c 9.094
_cell_angle_alpha 90.00
_cell_angle_beta 90.00
_cell_angle_gamma 90.00
_space_group_name_H-M_alt 'I 4/m m m'
_space_group_IT_number 139
_space_group_name_Hall '-I 4 2'
loop_
_atom_site_label
_atom_site_type_symbol
_atom_site_fract_x
_atom_site_fract_y
_atom_site_fract_z
Rb1 Rb 0.000 0.500 0.250
Re1 Re 0.000 0.000 0.000
S1 S 0.000 0.000 0.500
Cl1 Cl 0.000 0.000 0.255
Cl2 Cl 0.208 0.208 0.000


# 8
# PBE BC2, optimized geometry
# Energy above the most stable polymorph in this dataset = 93 meV per atom
# Total magnetic moment = 0.00 μB/cell
# Energy = -8.043 eV per atom
# Calculated formation energy = 332 meV/atom
# ρ = 3.02 g/cm3
data_BC2
_chemical_formula_sum 'B8 C16'
_cell_length_a 13.989
_cell_length_b 2.549
_cell_length_c 4.517
_cell_angle_alpha 90.00
_cell_angle_beta 108.07
_cell_angle_gamma 90.00
_space_group_name_H-M_alt 'C 1 m 1'
_space_group_IT_number 8
_space_group_name_Hall 'C -2y'
loop_
_atom_site_label
_atom_site_type_symbol
_atom_site_fract_x
_atom_site_fract_y
_atom_site_fract_z
B1 B 0.000 0.000 0.000
B2 B 0.005 0.500 0.592
B3 B 0.165 0.500 0.400
B4 B 0.436 0.500 0.333
C1 C 0.118 0.000 0.155
C2 C 0.124 0.500 0.695
C3 C 0.165 0.000 0.889
C4 C 0.281 0.000 0.009
C5 C 0.287 0.500 0.519
C6 C 0.320 0.500 0.208
C7 C 0.326 0.000 0.721
C8 C 0.441 0.000 0.861


# 9
# PBE ThNpSi2, optimized geometry
# Total magnetic moment = 10.75 μB/cell
# Energy = -8.001 eV per atom
# Uncorrected formation energy = -0.199 eV per atom
# ρ = 9.36 g/cm3
data_ThNpSi2
_chemical_formula_sum 'Th3 Np3 Si6'
_cell_length_a 4.6132
_cell_length_b 4.6132
_cell_length_c 15.1739
_cell_angle_alpha 90.00
_cell_angle_beta 90.00
_cell_angle_gamma 120.00
_space_group_name_H-M_alt 'R -3 m'
_space_group_IT_number 166
_space_group_name_Hall '-R 3 2"'
loop_
_atom_site_label
_atom_site_type_symbol
_atom_site_fract_x
_atom_site_fract_y
_atom_site_fract_z
Th1 Th 0.0000 0.0000 0.0000
Np1 Np 0.0000 0.0000 0.5000
Si1 Si 0.0000 0.0000 0.2373


# 10
# PBE MnIrPtRh, optimized geometry
# Total magnetic moment = 3.13 μB/cell
# Energy = -8.058 eV per atom
# Calculated formation energy = -202 meV/atom
# ρ = 15.81 g/cm3
data_MnIrPtRh
_chemical_formula_sum 'Mn1 Ir1 Pt1 Rh1'
_cell_length_a 3.828
_cell_length_b 3.853
_cell_length_c 3.883
_cell_angle_alpha 90.00
_cell_angle_beta 90.00
_cell_angle_gamma 90.00
_space_group_name_H-M_alt 'P m m m'
_space_group_IT_number 47
_space_group_name_Hall '-P 2 2'
loop_
_atom_site_label
_atom_site_type_symbol
_atom_site_fract_x
_atom_site_fract_y
_atom_site_fract_z
Mn1 Mn 0.000 0.000 0.000
Ir1 Ir 0.500 0.500 0.000
Pt1 Pt 0.000 0.500 0.500
Rh1 Rh 0.500 0.000 0.500


# 11
# PBE Cr2MoAuN, optimized geometry
# Total magnetic moment = 2.99 μB/cell
# Energy = -8.428 eV per atom
# Uncorrected formation energy = -0.092 eV per atom
# ρ = 10.57 g/cm3
data_Cr2MoAuN
_chemical_formula_sum 'Cr2 Mo1 Au1 N1'
_cell_length_a 3.974
_cell_length_b 3.974
_cell_length_c 4.087
_cell_angle_alpha 90.00
_cell_angle_beta 90.00
_cell_angle_gamma 90.00
_space_group_name_H-M_alt 'P 4/m m m'
_space_group_IT_number 123
_space_group_name_Hall '-P 4 2'
loop_
_atom_site_label
_atom_site_type_symbol
_atom_site_fract_x
_atom_site_fract_y
_atom_site_fract_z
Cr1 Cr 0.000 0.500 0.000
Mo1 Mo 0.000 0.000 0.500
Au1 Au 0.500 0.500 0.500
N1 N 0.000 0.000 0.000


# 12
# PBE RbLiPb2Br6, optimized geometry
# Total magnetic moment = 0.00 μB/cell
# Energy = -3.218 eV per atom
# Uncorrected formation energy = -1.184 eV per atom
# ρ = 4.48 g/cm3
data_RbLiPb2Br6
_chemical_formula_sum 'Rb3 Li3 Pb6 Br18'
_cell_length_a 7.7716
_cell_length_b 7.7716
_cell_length_c 20.9439
_cell_angle_alpha 90.00
_cell_angle_beta 90.00
_cell_angle_gamma 120.00
_space_group_name_H-M_alt 'R 3'
_space_group_IT_number 146
_space_group_name_Hall 'R 3'
loop_
_atom_site_label
_atom_site_type_symbol
_atom_site_fract_x
_atom_site_fract_y
_atom_site_fract_z
Rb1 Rb 0.0000 0.0000 0.0000
Li1 Li 0.0000 0.0000 0.4692
Pb1 Pb 0.0000 0.0000 0.2815
Pb2 Pb 0.0000 0.0000 0.7968
Br1 Br 0.0015 0.3443 0.2137
Br2 Br 0.0306 0.6126 0.0552


# 13
# PBE Mn2MoPtN, optimized geometry
# Total magnetic moment = 5.06 μB/cell
# Energy = -8.988 eV per atom
# Uncorrected formation energy = -0.281 eV per atom
# ρ = 10.78 g/cm3
data_Mn2MoPtN
_chemical_formula_sum 'Mn2 Mo1 Pt1 N1'
_cell_length_a 3.977
_cell_length_b 3.977
_cell_length_c 4.040
_cell_angle_alpha 90.00
_cell_angle_beta 90.00
_cell_angle_gamma 90.00
_space_group_name_H-M_alt 'P 4/m m m'
_space_group_IT_number 123
_space_group_name_Hall '-P 4 2'
loop_
_atom_site_label
_atom_site_type_symbol
_atom_site_fract_x
_atom_site_fract_y
_atom_site_fract_z
Mn1 Mn 0.000 0.500 0.000
Mo1 Mo 0.000 0.000 0.500
Pt1 Pt 0.500 0.500 0.500
N1 N 0.000 0.000 0.000